Entry 1:
Below is a geometry-optimized Sr3SbPb structure, with properties calculated at the PBE level.

Cell: 6.2071 6.2071 6.2071 Å, 90.00 90.00 90.00°
Closest atoms and distances in Å follow each position.
Fractional positions:
Sr (0.0000, 0.0000, 0.5000)  2 Sb 3.10
Sr (0.0000, 0.5000, 0.0000)  2 Sb 3.10
Sr (0.5000, 0.0000, 0.0000)  2 Sb 3.10
Sb (0.0000, 0.0000, 0.0000)  6 Sr 3.10
Pb (0.5000, 0.5000, 0.5000)  12 Sr 4.39

Computed properties:
Symmetry: Pm-3m (221)
Fermi-level density of states: 5.379 states/eV/cell
Relative energy among the computed polymorphs: 311 meV per atom
Uncorrected energy: -15.1 eV/cell

=====

Entry 2:
Below is a geometry-optimized SrSbPb3 structure, with properties calculated at the PBE level.

Cell: 6.0396 6.0396 6.0396 Å, 90.00 90.00 90.00°
Closest atoms and distances in Å follow each position.
Fractional positions:
Sr (0.0000, 0.0000, 0.0000)  6 Pb 3.02
Sb (0.5000, 0.5000, 0.5000)  12 Pb 4.27
Pb (0.0000, 0.0000, 0.5000)  2 Sr 3.02
Pb (0.0000, 0.5000, 0.0000)  2 Sr 3.02
Pb (0.5000, 0.0000, 0.0000)  2 Sr 3.02

Computed properties:
Symmetry: Pm-3m (221)
Fermi-level density of states: 5.758 states/eV/cell
Relative energy among the computed polymorphs: 669 meV per atom
Uncorrected energy: -12.6 eV/cell

=====

Entry 3:
Below is a geometry-optimized Sr3SbPb structure, with properties calculated at the PBE level.

Cell: 10.0466 8.7057 9.2781 Å, 90.00 104.06 90.00°
Closest atoms and distances in Å follow each position.
Fractional positions:
Sr (0.0695, 0.0015, 0.2071)  3 Pb 3.29-3.45, 1 Sb 3.36
Sr (0.0695, 0.4985, 0.7071)  3 Pb 3.29-3.45, 1 Sb 3.36
Sr (0.2934, 0.1307, 0.5883)  3 Sb 3.28-3.59, 2 Pb 3.39-3.57
Sr (0.2934, 0.3693, 0.0883)  3 Sb 3.28-3.59, 2 Pb 3.39-3.57
Sr (0.3649, 0.7032, 0.4562)  1 Pb 3.45, 4 Sb 3.52-3.71, 1 Sr 3.84
Sr (0.3649, 0.7968, 0.9562)  1 Pb 3.45, 4 Sb 3.52-3.71, 1 Sr 3.84
Sr (0.6351, 0.2032, 0.0438)  1 Pb 3.45, 4 Sb 3.52-3.71, 1 Sr 3.84
Sr (0.6351, 0.2968, 0.5438)  1 Pb 3.45, 4 Sb 3.52-3.71, 1 Sr 3.84
Sr (0.7066, 0.6307, 0.9117)  3 Sb 3.28-3.59, 2 Pb 3.39-3.57
Sr (0.7066, 0.8693, 0.4117)  3 Sb 3.28-3.59, 2 Pb 3.39-3.57
Sr (0.9305, 0.5015, 0.2929)  3 Pb 3.29-3.45, 1 Sb 3.36
Sr (0.9305, 0.9985, 0.7929)  3 Pb 3.29-3.45, 1 Sb 3.36
Sb (0.4103, 0.0497, 0.2602)  7 Sr 3.28-3.62
Sb (0.4103, 0.4503, 0.7602)  7 Sr 3.28-3.62
Sb (0.5897, 0.5497, 0.2398)  7 Sr 3.28-3.62
Sb (0.5897, 0.9503, 0.7398)  7 Sr 3.28-3.62
Pb (0.0700, 0.6668, 0.0434)  1 Pb 3.24, 6 Sr 3.29-3.57
Pb (0.0700, 0.8332, 0.5434)  1 Pb 3.24, 6 Sr 3.29-3.57
Pb (0.9300, 0.1668, 0.4566)  1 Pb 3.24, 6 Sr 3.29-3.57
Pb (0.9300, 0.3332, 0.9566)  1 Pb 3.24, 6 Sr 3.29-3.57

Computed properties:
Symmetry: P2_1/c (14)
Fermi-level density of states: 1.710 states/eV/cell
Relative energy among the computed polymorphs: 0 meV per atom
Uncorrected energy: -66.5 eV/cell

=====

Entry 4:
Below is a geometry-optimized SrSb2Pb2 structure, with properties calculated at the PBE level.

Cell: 8.5595 8.5595 8.5595 Å, 148.50 148.50 45.15°
Closest atoms and distances in Å follow each position.
Fractional positions:
Sr (0.0000, 0.0000, 0.0000)  8 Sb 3.60
Sb (0.4074, 0.4074, 0.0000)  1 Sb 2.93
Sb (0.5926, 0.5926, 0.0000)  1 Sb 2.93
Pb (0.2500, 0.7500, 0.5000)  4 Pb 3.29, 4 Sb 3.40
Pb (0.7500, 0.2500, 0.5000)  4 Pb 3.29, 4 Sb 3.40

Computed properties:
Symmetry: I4/mmm (139)
Fermi-level density of states: 3.433 states/eV/cell
Uncorrected energy: -18.9 eV/cell

=====

Entry 5:
Below is a geometry-optimized SrSb2Pb2 structure, with properties calculated at the PBE level.

Cell: 8.8861 8.8861 4.1193 Å, 90.00 90.00 90.00°
Closest atoms and distances in Å follow each position.
Fractional positions:
Sr (0.0000, 0.0000, 0.0000)  4 Pb 3.50, 8 Sb 3.87
Sr (0.5000, 0.5000, 0.0000)  4 Pb 3.50, 8 Sb 3.87
Sb (0.1760, 0.3240, 0.5000)  6 Pb 3.22-3.42
Sb (0.3240, 0.8240, 0.5000)  6 Pb 3.22-3.42
Sb (0.6760, 0.1760, 0.5000)  6 Pb 3.22-3.42
Sb (0.8240, 0.6760, 0.5000)  6 Pb 3.22-3.42
Pb (0.1269, 0.6269, 0.0000)  1 Pb 3.19, 6 Sb 3.22-3.42, 2 Sr 3.50
Pb (0.3731, 0.1269, 0.0000)  1 Pb 3.19, 6 Sb 3.22-3.42, 2 Sr 3.50
Pb (0.6269, 0.8731, 0.0000)  1 Pb 3.19, 6 Sb 3.22-3.42, 2 Sr 3.50
Pb (0.8731, 0.3731, 0.0000)  1 Pb 3.19, 6 Sb 3.22-3.42, 2 Sr 3.50

Computed properties:
Symmetry: P4/mbm (127)
Fermi-level density of states: 6.129 states/eV/cell
Uncorrected energy: -36.7 eV/cell

=====

Entry 6:
Below is a geometry-optimized SrSb2Pb2 structure, with properties calculated at the PBE level.

Cell: 8.5409 8.5409 4.5243 Å, 90.00 90.00 90.00°
Closest atoms and distances in Å follow each position.
Fractional positions:
Sr (0.0000, 0.0000, 0.0000)  4 Sb 3.32
Sr (0.5000, 0.5000, 0.0000)  4 Sb 3.32
Sb (0.1367, 0.3633, 0.0000)  1 Sb 3.30, 2 Sr 3.32, 6 Pb 3.37-3.38
Sb (0.3633, 0.8633, 0.0000)  1 Sb 3.30, 2 Sr 3.32, 6 Pb 3.37-3.38
Sb (0.6367, 0.1367, 0.0000)  1 Sb 3.30, 2 Sr 3.32, 6 Pb 3.37-3.38
Sb (0.8633, 0.6367, 0.0000)  1 Sb 3.30, 2 Sr 3.32, 6 Pb 3.37-3.38
Pb (0.1551, 0.6551, 0.5000)  6 Sb 3.37-3.38, 1 Pb 3.75
Pb (0.3449, 0.1551, 0.5000)  6 Sb 3.37-3.38, 1 Pb 3.75
Pb (0.6551, 0.8449, 0.5000)  6 Sb 3.37-3.38, 1 Pb 3.75
Pb (0.8449, 0.3449, 0.5000)  6 Sb 3.37-3.38, 1 Pb 3.75

Computed properties:
Symmetry: P4/mbm (127)
Fermi-level density of states: 9.115 states/eV/cell
Uncorrected energy: -37.1 eV/cell

=====

Entry 7:
Below is a geometry-optimized SrSb2Pb4 structure, with properties calculated at the PBE level.

Cell: 4.4439 4.4439 14.6077 Å, 99.23 99.23 61.46°
Closest atoms and distances in Å follow each position.
Fractional positions:
Sr (0.0000, 0.0000, 0.0000)  6 Sb 3.35-3.36
Sb (0.2841, 0.2841, 0.8505)  3 Pb 3.05-3.06, 3 Sr 3.35-3.36
Sb (0.7159, 0.7159, 0.1495)  3 Pb 3.05-3.06, 3 Sr 3.35-3.36
Pb (0.1459, 0.1459, 0.4358)  3 Pb 3.17-3.18
Pb (0.4190, 0.4190, 0.2627)  3 Sb 3.05-3.06
Pb (0.5810, 0.5810, 0.7373)  3 Sb 3.05-3.06
Pb (0.8541, 0.8541, 0.5642)  3 Pb 3.17-3.18

Computed properties:
Symmetry: C2/m (12)
Fermi-level density of states: 4.254 states/eV/cell
Uncorrected energy: -26.1 eV/cell

=====

Entry 8:
Below is a geometry-optimized Sr6SbPb3 structure, with properties calculated at the PBE level.

Cell: 9.9314 13.5893 5.6822 Å, 90.00 90.00 90.00°
Closest atoms and distances in Å follow each position.
Fractional positions:
Sr (0.0193, 0.2465, 0.0000)  4 Pb 3.32-3.45, 1 Sb 3.36
Sr (0.1661, 0.0917, 0.5000)  2 Sb 3.51, 3 Pb 3.54-3.78, 2 Sr 3.82
Sr (0.1778, 0.4161, 0.5000)  1 Sb 3.40, 3 Pb 3.53-3.62
Sr (0.3222, 0.9161, 0.0000)  1 Sb 3.40, 3 Pb 3.53-3.62
Sr (0.3339, 0.5917, 0.0000)  2 Sb 3.51, 3 Pb 3.54-3.78, 2 Sr 3.82
Sr (0.4807, 0.7465, 0.5000)  4 Pb 3.32-3.45, 1 Sb 3.36
Sr (0.5193, 0.2535, 0.5000)  4 Pb 3.32-3.45, 1 Sb 3.36
Sr (0.6661, 0.4083, 0.0000)  2 Sb 3.51, 3 Pb 3.54-3.78, 2 Sr 3.82
Sr (0.6778, 0.0839, 0.0000)  1 Sb 3.40, 3 Pb 3.53-3.62
Sr (0.8222, 0.5839, 0.5000)  1 Sb 3.40, 3 Pb 3.53-3.62
Sr (0.8339, 0.9083, 0.5000)  2 Sb 3.51, 3 Pb 3.54-3.78, 2 Sr 3.82
Sr (0.9807, 0.7535, 0.0000)  4 Pb 3.32-3.45, 1 Sb 3.36
Sb (0.0000, 0.0000, 0.0000)  8 Sr 3.36-3.51
Sb (0.5000, 0.5000, 0.5000)  8 Sr 3.36-3.51
Pb (0.0000, 0.5000, 0.0000)  8 Sr 3.45-3.54
Pb (0.1430, 0.7104, 0.5000)  4 Sr 3.32-3.62
Pb (0.3570, 0.2104, 0.0000)  4 Sr 3.32-3.62
Pb (0.5000, 0.0000, 0.5000)  8 Sr 3.45-3.54
Pb (0.6430, 0.7896, 0.0000)  4 Sr 3.32-3.62
Pb (0.8570, 0.2896, 0.5000)  4 Sr 3.32-3.62

Computed properties:
Symmetry: Pnnm (58)
Fermi-level density of states: 8.008 states/eV/cell
Uncorrected energy: -62.5 eV/cell

=====

Entry 9:
Below is a geometry-optimized SrSbPb3 structure, with properties calculated at the PBE level.

Cell: 5.9313 5.9313 5.9313 Å, 90.00 90.00 90.00°
Closest atoms and distances in Å follow each position.
Fractional positions:
Sr (0.0000, 0.0000, 0.0000)  12 Pb 4.19
Sb (0.5000, 0.5000, 0.5000)  6 Pb 2.97
Pb (0.0000, 0.5000, 0.5000)  2 Sb 2.97
Pb (0.5000, 0.0000, 0.5000)  2 Sb 2.97
Pb (0.5000, 0.5000, 0.0000)  2 Sb 2.97

Computed properties:
Symmetry: Pm-3m (221)
Fermi-level density of states: 3.971 states/eV/cell
Relative energy among the computed polymorphs: 0 meV per atom
Uncorrected energy: -15.9 eV/cell

=====

Entry 10:
Below is a geometry-optimized SrSbPb4 structure, with properties calculated at the PBE level.

Cell: 6.5511 6.5511 6.5511 Å, 60.00 60.00 60.00°
Closest atoms and distances in Å follow each position.
Fractional positions:
Sr (0.0000, 0.0000, 0.0000)  12 Pb 3.84, 4 Sb 4.01
Sb (0.2500, 0.2500, 0.2500)  12 Pb 3.84, 4 Sr 4.01
Pb (0.1255, 0.6248, 0.6248)  6 Pb 3.27-3.28
Pb (0.6248, 0.1255, 0.6248)  6 Pb 3.27-3.28
Pb (0.6248, 0.6248, 0.1255)  6 Pb 3.27-3.28
Pb (0.6248, 0.6248, 0.6248)  6 Pb 3.27-3.28

Computed properties:
Symmetry: F-43m (216)
Fermi-level density of states: 4.875 states/eV/cell
Uncorrected energy: -21.1 eV/cell

=====

Entry 11:
Below is a geometry-optimized SrSb4Pb structure, with properties calculated at the PBE level.

Cell: 6.3962 6.3962 6.3962 Å, 60.00 60.00 60.00°
Closest atoms and distances in Å follow each position.
Fractional positions:
Sr (0.0000, 0.0000, 0.0000)  12 Sb 3.75, 4 Pb 3.92
Sb (0.3753, 0.3753, 0.3753)  6 Sb 3.19-3.21
Sb (0.3753, 0.3753, 0.8740)  6 Sb 3.19-3.21
Sb (0.3753, 0.8740, 0.3753)  6 Sb 3.19-3.21
Sb (0.8740, 0.3753, 0.3753)  6 Sb 3.19-3.21
Pb (0.7500, 0.7500, 0.7500)  12 Sb 3.75, 4 Sr 3.92

Computed properties:
Symmetry: F-43m (216)
Fermi-level density of states: 5.357 states/eV/cell
Uncorrected energy: -22.8 eV/cell

=====

Entry 12:
Below is a geometry-optimized Sr5SbPb2 structure, with properties calculated at the PBE level.

Cell: 10.0881 10.0881 10.0881 Å, 128.68 128.68 75.52°
Closest atoms and distances in Å follow each position.
Fractional positions:
Sr (0.0000, 0.0000, 0.0000)  4 Pb 3.44
Sr (0.0215, 0.5215, 0.8360)  3 Pb 3.44-3.50, 2 Sb 3.65
Sr (0.1855, 0.0215, 0.5000)  3 Pb 3.44-3.50, 2 Sb 3.65
Sr (0.3145, 0.8145, 0.8360)  3 Pb 3.44-3.50, 2 Sb 3.65
Sr (0.4785, 0.3145, 0.5000)  3 Pb 3.44-3.50, 2 Sb 3.65
Sr (0.5000, 0.5000, 0.0000)  4 Pb 3.44
Sr (0.5215, 0.6855, 0.5000)  3 Pb 3.44-3.50, 2 Sb 3.65
Sr (0.6855, 0.1855, 0.1640)  3 Pb 3.44-3.50, 2 Sb 3.65
Sr (0.8145, 0.9785, 0.5000)  3 Pb 3.44-3.50, 2 Sb 3.65
Sr (0.9785, 0.4785, 0.1640)  3 Pb 3.44-3.50, 2 Sb 3.65
Sb (0.2500, 0.2500, 0.0000)  10 Sr 3.65-3.99
Sb (0.7500, 0.7500, 0.0000)  10 Sr 3.65-3.99
Pb (0.1277, 0.3723, 0.5000)  1 Pb 3.16, 8 Sr 3.44-3.50
Pb (0.3723, 0.8723, 0.2446)  1 Pb 3.16, 8 Sr 3.44-3.50
Pb (0.6277, 0.1277, 0.7554)  1 Pb 3.16, 8 Sr 3.44-3.50
Pb (0.8723, 0.6277, 0.5000)  1 Pb 3.16, 8 Sr 3.44-3.50

Computed properties:
Symmetry: I4/mcm (140)
Fermi-level density of states: 2.698 states/eV/cell
Uncorrected energy: -50.7 eV/cell